The following is a DFT calculation (GGA-PBE) of Tb6TmSe8 after structural relaxation.

Cell: 11.5069 11.5069 11.5069 Å, 90.00 90.00 90.00°
With the nearest neighbours (Å) after each atom.
Space group Fm-3m (No. 225)
Symmetry-distinct sites (fractional):
1 Tb 0.0000 0.2500 0.2500  6 Se 2.88
2 Tm 0.0000 0.0000 0.0000  6 Se 2.87
3 Se 0.0000 0.0000 0.2498  1 Tm 2.87, 4 Tb 2.88
4 Se 0.2500 0.2500 0.2500  6 Tb 2.88

Values from the calculation:
- DFT total energy (eV per atom) = -5.8527